# 1
SnHgC2 PBE relaxed; distance to the lowest polymorph of the same formula = 0 meV per atom; ΔH_f (0 K) = 1.59 eV/atom; energy = -4.0996 eV/atom
1.0
5.188 0.000 0.000
0.000 5.188 0.000
2.594 2.594 5.102
C Hg Sn
4 2 2
direct
0.140 0.625 0.250
0.875 0.860 0.750
0.610 0.125 0.250
0.375 0.390 0.750
0.000 0.000 0.000
0.750 0.250 0.500
0.500 0.500 0.000
0.250 0.750 0.500

---

# 2
MgNCl2 PBE relaxed; distance to the lowest polymorph of the same formula = 377 meV per atom; formation energy without anion corrections = 0.28 eV per atom; energy = -3.1218 eV/atom
1.0
-1.995 -4.195 0.326
-4.535 -0.501 -0.935
-1.350 -2.242 -3.852
Cl N Mg
2 1 1
direct
0.750 0.750 0.750
0.250 0.250 0.250
0.000 0.000 0.000
0.500 0.500 0.500

---

# 3
SmGa4Ru2Pt PBE relaxed; ΔH_f (0 K) = -0.48 eV/atom; energy = -5.6600 eV/atom
1.0
4.283 0.000 0.000
2.141 3.709 0.000
2.141 1.236 8.660
Sm Ga Pt Ru
1 4 1 2
direct
0.000 0.000 0.000
0.872 0.872 0.385
0.399 0.399 0.803
0.128 0.128 0.615
0.601 0.601 0.197
0.500 0.500 0.500
0.232 0.232 0.303
0.768 0.768 0.697